{
  "formula": "KBaV2CuClO7",
  "functional": "PBE with a Hubbard U",
  "state": "optimized geometry",
  "dos_at_fermi_per_ev_fu": 0.61,
  "density_kg_m3": 3556,
  "energy_ev_per_atom": -6.4181,
  "lattice_angstrom": [[6.3010, -6.3915, 0.0000], [6.3010, 6.3915, 0.0000], [0.0000, 0.0000, 5.6743]],
  "species": ["K", "K", "Ba", "Ba", "V", "V", "V", "V", "Cu", "Cu", "Cl", "Cl", "O", "O", "O", "O", "O", "O", "O", "O", "O", "O", "O", "O", "O", "O"],
  "fractional_positions": [[0.1742, 0.1742, 0.0000], [0.8258, 0.8258, 0.0000], [0.3232, 0.6768, 0.0032], [0.6768, 0.3232, 0.0032], [0.1342, 0.8658, 0.4643], [0.3668, 0.3668, 0.4672], [0.6332, 0.6332, 0.4672], [0.8658, 0.1342, 0.4643], [0.0000, 0.5000, 0.3912], [0.5000, 0.0000, 0.3912], [0.0000, 0.5000, 0.8538], [0.5000, 0.0000, 0.8538], [0.0000, 0.0000, 0.3536], [0.0921, 0.6946, 0.3396], [0.1389, 0.8611, 0.7619], [0.1963, 0.4134, 0.3534], [0.3054, 0.9079, 0.3396], [0.3804, 0.3804, 0.7653], [0.4134, 0.1963, 0.3534], [0.5000, 0.5000, 0.3271], [0.5866, 0.8037, 0.3534], [0.6196, 0.6196, 0.7653], [0.6946, 0.0921, 0.3396], [0.8037, 0.5866, 0.3534], [0.8611, 0.1389, 0.7619], [0.9079, 0.3054, 0.3396]]
}